This record from Alexandria describes crystalline Tm4MgIn at its relaxed geometry. The functional is PBE.

Cell lengths 5.113, 6.439, 11.885 Å; angles 90.00, 102.42, 90.00 degrees
Atoms (fractional coordinates):
Tm  0.862  0.270  0.724
Tm  0.138  0.770  0.276
Tm  0.418  0.902  0.837
Tm  0.582  0.402  0.163
Tm  0.720  0.530  0.439
Tm  0.280  0.030  0.561
Tm  0.691  0.038  0.382
Tm  0.309  0.538  0.618
Mg  0.554  0.906  0.109
Mg  0.446  0.406  0.891
In  0.841  0.788  0.681
In  0.159  0.288  0.319

Theoretical density   7.08 g cm⁻³
Energy   -43.25 eV per cell
Space group   Cmc2_1